DFT (GGA+U) results for a geometry-optimized CuNiTe2O6 structure.

Unit cell a=5.629 b=5.430 c=5.772 alpha=92.44 beta=114.42 gamma=115.20
Sites, in units of the cell vectors:
1 Cu 0.018 0.511 0.473
2 Ni 0.995 0.982 0.988
3 Te 0.672 0.823 0.404
4 Te 0.586 0.241 0.889
5 O 0.528 0.877 0.739
6 O 0.433 0.121 0.129
7 O 0.887 0.748 0.234
8 O 0.984 0.321 0.148
9 O 0.862 0.662 0.670
10 O 0.000 0.190 0.629

Values from the calculation:
The value obtained for the total moment is 3.01 μB per cell. Its raw total energy is -5.159 eV per atom.